(1)
# KReHg3S4

An optimized crystal structure of KReHg3S4 (PBE, OQMD).

Output
- Size of the total moment: 0.00 μB per cell
- E_tot: -0.2683 Ry/atom
- Space group: P-43m

a b c (Å): 7.5699 7.5699 7.5699
angles (deg): 90.00 90.00 90.00
Last column: nearest neighbours and their distance in Å.
Atoms (fractional coordinates):
Hg  0.5000  0.5000  0.0000  4 S 3.09
Hg  0.5000  0.0000  0.5000  4 S 3.09
Hg  0.0000  0.5000  0.5000  4 S 3.09
K  0.0000  0.0000  0.0000  4 S 4.38
Re  0.5000  0.5000  0.5000  4 S 2.17
S  0.3344  0.3344  0.3344  1 Re 2.17
S  0.6656  0.6656  0.3344  1 Re 2.17
S  0.6656  0.3344  0.6656  1 Re 2.17
S  0.3344  0.6656  0.6656  1 Re 2.17



(2)
# NdZnB4

An optimized crystal structure of NdZnB4 (PBE, OQMD).

Output
- Size of the total moment: 0.00 μB per cell
- Space group: Immm
- Relative energy among the computed polymorphs: 0 meV per atom

a b c (Å): 5.1893 5.1893 5.1893
angles (deg): 144.25 118.28 73.42
Last column: nearest neighbours and their distance in Å.
Atoms (fractional coordinates):
B  0.5666  0.2427  0.3239  3 B 1.78-1.88
B  0.0812  0.7573  0.3239  3 B 1.78-1.88
B  0.9188  0.2427  0.6761  3 B 1.78-1.88
B  0.4334  0.7573  0.6761  3 B 1.78-1.88
Nd  0.5000  0.5000  0.0000  12 B 2.74-2.75
Zn  0.0000  0.0000  0.0000  12 B 2.66-2.83



(3)
# SmGeH2O4

An optimized crystal structure of SmGeH2O4 (PBE, OQMD).

Output
- Size of the total moment: 0.01 μB per cell
- Space group: I-42d
- Relative energy among the computed polymorphs: 366 meV per atom

a b c (Å): 6.3419 6.3419 6.3419
angles (deg): 114.66 99.52 114.66
Last column: nearest neighbours and their distance in Å.
Atoms (fractional coordinates):
Ge  0.0000  0.0000  0.0000  2 H 1.87, 4 O 2.00
Ge  0.7500  0.5000  0.2500  2 H 1.87, 4 O 2.00
H  0.5219  0.5000  0.0219  2 O 1.20
H  0.2281  0.0000  0.2281  2 O 1.20
H  0.9781  0.5000  0.4781  2 O 1.20
H  0.7719  0.0000  0.7719  2 O 1.20
O  0.1950  0.8255  0.0271  1 H 1.20
O  0.5484  0.6679  0.2229  1 H 1.20
O  0.2016  0.1745  0.3695  1 H 1.20
O  0.7771  0.3255  0.4450  1 H 1.20
O  0.1195  0.6745  0.4516  1 H 1.20
O  0.9729  0.1679  0.7984  1 H 1.20
O  0.6305  0.8321  0.8050  1 H 1.20
O  0.5550  0.3321  0.8805  1 H 1.20
Sm  0.5000  0.0000  0.5000  2 H 2.23, 4 O 2.29
Sm  0.2500  0.5000  0.7500  2 H 2.23, 4 O 2.29



(4)
# ScCoTc2

An optimized crystal structure of ScCoTc2 (PBE, OQMD).

Output
- Formation enthalpy at 0 K: -0.100 eV/atom
- Size of the total moment: 1.83 μB per cell
- Space group: F-43m

a b c (Å): 4.3697 4.3697 4.3697
angles (deg): 60.00 60.00 60.00
Last column: nearest neighbours and their distance in Å.
Atoms (fractional coordinates):
Co  0.2500  0.2500  0.2500  4 Tc 2.68, 4 Sc 2.68
Sc  0.5000  0.5000  0.5000  4 Tc 2.68, 4 Co 2.68
Tc  0.0000  0.0000  0.0000  4 Co 2.68, 4 Tc 2.68
Tc  0.7500  0.7500  0.7500  4 Sc 2.68, 4 Tc 2.68



(5)
# Y2MgCoH6

An optimized crystal structure of Y2MgCoH6 (PBE, OQMD).

Output
- Size of the total moment: 0.00 μB per cell
- E_tot: -0.3256 Ry/atom
- Space group: Fm-3m

a b c (Å): 5.1334 5.1334 5.1334
angles (deg): 60.00 60.00 60.00
Last column: nearest neighbours and their distance in Å.
Atoms (fractional coordinates):
Co  0.0000  0.0000  0.0000  6 H 1.65
H  0.7731  0.2269  0.2269  1 Co 1.65
H  0.2269  0.7731  0.2269  1 Co 1.65
H  0.7731  0.7731  0.2269  1 Co 1.65
H  0.2269  0.2269  0.7731  1 Co 1.65
H  0.7731  0.2269  0.7731  1 Co 1.65
H  0.2269  0.7731  0.7731  1 Co 1.65
Mg  0.5000  0.5000  0.5000  6 H 1.98
Y  0.2500  0.2500  0.2500  12 H 2.57
Y  0.7500  0.7500  0.7500  12 H 2.57



(6)
# PdS2I4Cl2

An optimized crystal structure of PdS2I4Cl2 (PBE, OQMD).

Output
- E_tot: -0.1977 Ry/atom
- Space group: P-1

a b c (Å): 5.0520 7.3872 9.0540
angles (deg): 104.30 101.75 95.13
Last column: nearest neighbours and their distance in Å.
Atoms (fractional coordinates):
Cl  0.2679  0.1700  0.4277  1 S 2.06
Cl  0.7321  0.8300  0.5723  1 S 2.06
I  0.7012  0.8293  0.1495  1 Pd 2.65
I  0.0259  0.5071  0.2157  1 S 2.54
I  0.9741  0.4929  0.7843  1 S 2.54
I  0.2988  0.1707  0.8505  1 Pd 2.65
Pd  0.0000  0.0000  0.0000  2 S 2.34
S  0.2800  0.2260  0.2172  1 Cl 2.06
S  0.7200  0.7740  0.7828  1 Cl 2.06



(7)
# LaSmAu2

An optimized crystal structure of LaSmAu2 (PBE, OQMD).

Output
- Formation enthalpy at 0 K: -0.829 eV/atom
- Size of the total moment: 0.01 μB per cell
- Space group: Amm2

a b c (Å): 4.7967 5.9784 5.9784
angles (deg): 37.76 90.00 90.00
Last column: nearest neighbours and their distance in Å.
Atoms (fractional coordinates):
Au  0.0000  0.0879  0.0879  3 La 3.10-3.21, 2 Au 3.11, 4 Sm 3.13
Au  0.5000  0.9125  0.9125  3 Sm 3.11-3.20, 2 Au 3.11, 4 La 3.13
La  0.0000  0.3620  0.3620  7 Au 3.10-3.21
Sm  0.5000  0.6375  0.6375  7 Au 3.11-3.20



(8)
# YCoCu2

An optimized crystal structure of YCoCu2 (PBE, OQMD).

Output
- Formation enthalpy at 0 K: 0.087 eV/atom
- Size of the total moment: 0.11 μB per cell
- Space group: F-43m

a b c (Å): 4.4254 4.4254 4.4254
angles (deg): 60.00 60.00 60.00
Last column: nearest neighbours and their distance in Å.
Atoms (fractional coordinates):
Co  0.2500  0.2500  0.2500  4 Y 2.71, 4 Cu 2.71
Cu  0.0000  0.0000  0.0000  4 Cu 2.71, 4 Co 2.71
Cu  0.7500  0.7500  0.7500  4 Y 2.71, 4 Cu 2.71
Y  0.5000  0.5000  0.5000  4 Co 2.71, 4 Cu 2.71